No. 1
The following is a PBE-GGA calculation of a relaxed RbCaSeCl2 crystal, from Alexandria.

Summary:
Energy above the lowest structure with this stoichiometry, eV/atom: 0.685
Formation energy (no corrections), eV/atom: -0.940
Crystal system: tetragonal
Symmetry: P4/mmm, No. 123

a b c (Å): 6.482 6.482 5.137
angles (deg): 90.00 90.00 90.00
Positions (direct):
Rb (0.000, 0.000, 0.000)
Ca (0.500, 0.500, 0.000)
Se (0.500, 0.500, 0.500)
Cl (0.000, 0.500, 0.500)
Cl (0.500, 0.000, 0.500)



No. 2
The following is a PBE-GGA calculation of a relaxed RbCaSeCl2 crystal, from Alexandria.

Summary:
Energy above the lowest structure with this stoichiometry, eV/atom: 0.000
Formation energy (no corrections), eV/atom: -1.625
Crystal system: tetragonal
Symmetry: P4/mmm, No. 123

a b c (Å): 5.438 5.438 5.813
angles (deg): 90.00 90.00 90.00
Positions (direct):
Rb (0.000, 0.000, 0.000)
Ca (0.500, 0.500, 0.500)
Se (0.500, 0.500, 0.000)
Cl (0.000, 0.500, 0.500)
Cl (0.500, 0.000, 0.500)



No. 3
The following is a PBE-GGA calculation of a relaxed RbCa2SmCl8 crystal, from Alexandria.

Summary:
Formation energy (no corrections), eV/atom: -2.257
Crystal system: monoclinic
Symmetry: P2/m, No. 10

a b c (Å): 6.504 8.810 6.713
angles (deg): 90.00 90.58 90.00
Positions (direct):
Rb (0.000, 0.000, 0.000)
Ca (0.500, 0.246, 0.500)
Ca (0.500, 0.754, 0.500)
Sm (0.000, 0.500, 0.000)
Cl (0.237, 0.287, 0.178)
Cl (0.237, 0.713, 0.178)
Cl (0.272, 0.500, 0.679)
Cl (0.286, 0.000, 0.630)
Cl (0.714, 0.000, 0.370)
Cl (0.728, 0.500, 0.321)
Cl (0.763, 0.287, 0.822)
Cl (0.763, 0.713, 0.822)



For the records above, the corresponding density values read 2.1 2.7 2.6 Mg/m³.